{"formula": "GaMo2O2", "functional": "GGA+U", "state": "relaxed", "lattice_angstrom": [[6.9069, 0.0000, 0.0000], [0.0000, 6.9069, 0.0000], [0.0000, 0.0000, 2.7959]], "species": ["Mo", "Mo", "Mo", "Mo", "O", "O", "O", "O", "Ga", "Ga"], "frac_coords": [[0.3673, 0.8673, 0.0000], [0.8673, 0.6327, 0.0000], [0.6327, 0.1327, 0.0000], [0.1327, 0.3673, 0.0000], [0.1245, 0.6245, 0.5000], [0.6245, 0.8755, 0.5000], [0.8755, 0.3755, 0.5000], [0.3755, 0.1245, 0.5000], [0.0000, 0.0000, 0.0000], [0.5000, 0.5000, 0.0000]], "magnetic_moment_mub_per_cell": 3.88, "sg": "P4/mbm", "relative_energy_ev_per_atom": 0.634, "rho_g_cm3": 7.3}